(1)
VASP calculation (GGA-PBEsol) on MgNb3Pd after structural relaxation.

a = 4.843 Å, b = 4.843 Å, c = 4.843 Å
α = 90.00°, β = 90.00°, γ = 90.00°
Element x y z (fractional)
1 Mg 0.000 0.000 0.000
2 Nb 0.000 0.500 0.500
3 Nb 0.500 0.000 0.500
4 Nb 0.500 0.500 0.000
5 Pd 0.500 0.500 0.500

ΔH_f (0 K)	6.1	eV per formula unit
total DFT energy (no corrections)	-34.1	eV for the cell shown
calculated density	6.0	g/cm³

=====

(2)
VASP calculation (GGA-PBEsol) on CoPtPb after structural relaxation.

a = 3.986 Å, b = 3.986 Å, c = 3.922 Å
α = 90.00°, β = 90.00°, γ = 120.00°
Element x y z (fractional)
1 Co 0.000 0.000 0.000
2 Pt 0.667 0.333 0.828
3 Pb 0.333 0.667 0.391

ΔH_f (0 K)	1.1	eV per formula unit
total DFT energy (no corrections)	-17.6	eV for the cell shown
calculated density	14.2	g/cm³

=====

(3)
VASP calculation (GGA-PBEsol) on Nb2AgF after structural relaxation.

a = 4.445 Å, b = 4.445 Å, c = 4.445 Å
α = 60.00°, β = 60.00°, γ = 60.00°
Element x y z (fractional)
1 Nb 0.250 0.250 0.250
2 Nb 0.750 0.750 0.750
3 Ag 0.000 0.000 0.000
4 F 0.500 0.500 0.500

total DFT energy (no corrections)	-26.4	eV for the cell shown
calculated density	8.4	g/cm³
raw formation energy	0.118	eV/atom